CaTl2Se | PBE-GGA | optimized geometry

Output
Its space group is P4/mmm (123). Its energy relative to the elements, uncorrected is -0.390 eV per atom. The calculation puts the final energy at -2.9449 eV/atom. Its crystal system is tetragonal. The calculation puts the total magnetic moment at 0.00 μB per formula unit.

```
CaTl2Se
1.0
4.421 0.000 0.000
0.000 4.421 0.000
0.000 0.000 6.083
Ca Tl Se
1 2 1
Cartesian
0.000 0.000 0.000 Ca
2.210 2.210 1.573 Tl
2.210 2.210 4.510 Tl
0.000 0.000 3.041 Se
```